# LiZnIr, optimized geometry, DFT GGA-PBE
# energy above the most stable polymorph in this dataset: 425 meV per atom
# ΔH_f (0 K): 0.20 eV/atom
# E: -3.811 eV/atom
# magnetic moment: 0.00 μB/f.u.
data_LiZnIr
_chemical_formula_sum 'Li4 Zn4 Ir4'
_symmetry_space_group_name_H-M 'F -4 3 m'
_symmetry_Int_Tables_number 216
_symmetry_space_group_name_Hall 'F -4 2 3'
_cell_length_a 5.7770
_cell_length_b 5.7770
_cell_length_c 5.7770
_cell_angle_alpha 90.00
_cell_angle_beta 90.00
_cell_angle_gamma 90.00
loop_
_atom_site_label
_atom_site_type_symbol
_atom_site_fract_x
_atom_site_fract_y
_atom_site_fract_z
_atom_site_occupancy
Li1 Li 0.0000 0.0000 0.0000 1
Zn1 Zn 0.2500 0.2500 0.2500 1
Ir1 Ir 0.0000 0.0000 0.5000 1

---

# Li6ZnIr, optimized geometry, DFT GGA-PBE
# ΔH_f (0 K): -0.03 eV/atom
# E: -2.736 eV/atom
# magnetic moment: 0.00 μB/f.u.
data_Li6ZnIr
_chemical_formula_sum 'Li6 Zn1 Ir1'
_symmetry_space_group_name_H-M 'P -1'
_symmetry_Int_Tables_number 2
_symmetry_space_group_name_Hall '-P 1'
_cell_length_a 4.9066
_cell_length_b 4.9127
_cell_length_c 4.9183
_cell_angle_alpha 90.97
_cell_angle_beta 91.31
_cell_angle_gamma 90.22
loop_
_atom_site_label
_atom_site_type_symbol
_atom_site_fract_x
_atom_site_fract_y
_atom_site_fract_z
_atom_site_occupancy
Li1 Li 0.0009 0.2381 0.4993 1
Li2 Li 0.2617 0.0000 0.9975 1
Li3 Li 0.4990 0.5027 0.7385 1
Zn1 Zn 0.0000 0.5000 0.0000 1
Ir1 Ir 0.5000 0.0000 0.5000 1

---

# LiZn6Ir2, optimized geometry, DFT GGA-PBE
# energy above the most stable polymorph in this dataset: 206 meV per atom
# ΔH_f (0 K): -0.02 eV/atom
# E: -3.050 eV/atom
# magnetic moment: 0.00 μB/f.u.
data_LiZn6Ir2
_chemical_formula_sum 'Li2 Zn12 Ir4'
_symmetry_space_group_name_H-M 'C 1 2/m 1'
_symmetry_Int_Tables_number 12
_symmetry_space_group_name_Hall '-C 2y'
_cell_length_a 9.1075
_cell_length_b 5.2593
_cell_length_c 5.1432
_cell_angle_alpha 90.00
_cell_angle_beta 90.07
_cell_angle_gamma 90.00
loop_
_atom_site_label
_atom_site_type_symbol
_atom_site_fract_x
_atom_site_fract_y
_atom_site_fract_z
_atom_site_occupancy
Li1 Li 0.0000 0.0000 0.0000 1
Zn1 Zn 0.0888 0.2666 0.6935 1
Zn2 Zn 0.1778 0.0000 0.3073 1
Ir1 Ir 0.1667 0.5000 0.1589 1

---

# Li3Zn2Ir2, optimized geometry, DFT GGA-PBE
# ΔH_f (0 K): -0.14 eV/atom
# E: -3.852 eV/atom
# magnetic moment: 0.00 μB/f.u.
data_Li3Zn2Ir2
_chemical_formula_sum 'Li3 Zn2 Ir2'
_symmetry_space_group_name_H-M 'P 1 2/m 1'
_symmetry_Int_Tables_number 10
_symmetry_space_group_name_Hall '-P 2y'
_cell_length_a 4.2709
_cell_length_b 2.5528
_cell_length_c 9.4506
_cell_angle_alpha 90.00
_cell_angle_beta 103.08
_cell_angle_gamma 90.00
loop_
_atom_site_label
_atom_site_type_symbol
_atom_site_fract_x
_atom_site_fract_y
_atom_site_fract_z
_atom_site_occupancy
Li1 Li 0.0000 0.0000 0.0000 1
Li2 Li 0.2830 0.0000 0.5662 1
Zn1 Zn 0.4220 0.5000 0.8432 1
Ir1 Ir 0.1369 0.0000 0.2744 1

---

# Li2ZnIr, optimized geometry, DFT GGA-PBE
# ΔH_f (0 K): -0.08 eV/atom
# E: -3.571 eV/atom
# magnetic moment: 0.00 μB/f.u.
data_Li2ZnIr
_chemical_formula_sum 'Li2 Zn1 Ir1'
_symmetry_space_group_name_H-M 'P 4/m m m'
_symmetry_Int_Tables_number 123
_symmetry_space_group_name_Hall '-P 4 2'
_cell_length_a 2.6265
_cell_length_b 2.6265
_cell_length_c 8.3463
_cell_angle_alpha 90.00
_cell_angle_beta 90.00
_cell_angle_gamma 90.00
loop_
_atom_site_label
_atom_site_type_symbol
_atom_site_fract_x
_atom_site_fract_y
_atom_site_fract_z
_atom_site_occupancy
Li1 Li 0.0000 0.0000 0.2349 1
Zn1 Zn 0.5000 0.5000 0.5000 1
Ir1 Ir 0.5000 0.5000 0.0000 1

---

# LiZn2Ir, optimized geometry, DFT GGA-PBE
# energy above the most stable polymorph in this dataset: 164 meV per atom
# ΔH_f (0 K): -0.17 eV/atom
# E: -3.503 eV/atom
# magnetic moment: 0.00 μB/f.u.
data_LiZn2Ir
_chemical_formula_sum 'Li4 Zn8 Ir4'
_symmetry_space_group_name_H-M 'F -4 3 m'
_symmetry_Int_Tables_number 216
_symmetry_space_group_name_Hall 'F -4 2 3'
_cell_length_a 6.0125
_cell_length_b 6.0125
_cell_length_c 6.0125
_cell_angle_alpha 90.00
_cell_angle_beta 90.00
_cell_angle_gamma 90.00
loop_
_atom_site_label
_atom_site_type_symbol
_atom_site_fract_x
_atom_site_fract_y
_atom_site_fract_z
_atom_site_occupancy
Li1 Li 0.0000 0.0000 0.0000 1
Zn1 Zn 0.0000 0.0000 0.5000 1
Zn2 Zn 0.2500 0.2500 0.7500 1
Ir1 Ir 0.2500 0.2500 0.2500 1

---

# LiZn2Ir, optimized geometry, DFT GGA-PBE
# energy above the most stable polymorph in this dataset: 484 meV per atom
# ΔH_f (0 K): 0.15 eV/atom
# E: -3.183 eV/atom
# magnetic moment: 0.00 μB/f.u.
data_LiZn2Ir
_chemical_formula_sum 'Li4 Zn8 Ir4'
_symmetry_space_group_name_H-M 'I -4 2 d'
_symmetry_Int_Tables_number 122
_symmetry_space_group_name_Hall 'I -4 2bw'
_cell_length_a 3.7028
_cell_length_b 3.7028
_cell_length_c 17.7117
_cell_angle_alpha 90.00
_cell_angle_beta 90.00
_cell_angle_gamma 90.00
loop_
_atom_site_label
_atom_site_type_symbol
_atom_site_fract_x
_atom_site_fract_y
_atom_site_fract_z
_atom_site_occupancy
Li1 Li 0.0000 0.0000 0.0000 1
Zn1 Zn 0.2374 0.2500 0.6250 1
Ir1 Ir 0.0000 0.0000 0.5000 1

---

# Li2Zn4Ir, optimized geometry, DFT GGA-PBE
# energy above the most stable polymorph in this dataset: 116 meV per atom
# ΔH_f (0 K): -0.14 eV/atom
# E: -2.681 eV/atom
# magnetic moment: 0.00 μB/f.u.
data_Li2Zn4Ir
_chemical_formula_sum 'Li4 Zn8 Ir2'
_symmetry_space_group_name_H-M 'P 1'
_symmetry_Int_Tables_number 1
_symmetry_space_group_name_Hall 'P 1'
_cell_length_a 5.3958
_cell_length_b 6.5100
_cell_length_c 6.6069
_cell_angle_alpha 90.47
_cell_angle_beta 112.35
_cell_angle_gamma 90.51
loop_
_atom_site_label
_atom_site_type_symbol
_atom_site_fract_x
_atom_site_fract_y
_atom_site_fract_z
_atom_site_occupancy
Li1 Li 0.0000 0.0000 0.0000 1
Li2 Li 0.0322 0.8926 0.5354 1
Li3 Li 0.4921 0.0021 0.9942 1
Li4 Li 0.6637 0.3965 0.8732 1
Zn1 Zn 0.1114 0.2551 0.7536 1
Zn2 Zn 0.1536 0.6516 0.8589 1
Zn3 Zn 0.3310 0.3421 0.1691 1
Zn4 Zn 0.3930 0.7800 0.2867 1
Zn5 Zn 0.5234 0.1404 0.5483 1
Zn6 Zn 0.6132 0.7713 0.7252 1
Zn7 Zn 0.8498 0.6909 0.1788 1
Zn8 Zn 0.8888 0.2264 0.2781 1
Ir1 Ir 0.2416 0.5007 0.5032 1
Ir2 Ir 0.7485 0.5005 0.4940 1

---

# Li2Zn4Ir, optimized geometry, DFT GGA-PBE
# energy above the most stable polymorph in this dataset: 0 meV per atom
# ΔH_f (0 K): -0.26 eV/atom
# E: -2.798 eV/atom
# magnetic moment: 0.00 μB/f.u.
data_Li2Zn4Ir
_chemical_formula_sum 'Li4 Zn8 Ir2'
_symmetry_space_group_name_H-M 'I 4/m m m'
_symmetry_Int_Tables_number 139
_symmetry_space_group_name_Hall '-I 4 2'
_cell_length_a 5.5592
_cell_length_b 5.5592
_cell_length_c 6.8880
_cell_angle_alpha 90.00
_cell_angle_beta 90.00
_cell_angle_gamma 90.00
loop_
_atom_site_label
_atom_site_type_symbol
_atom_site_fract_x
_atom_site_fract_y
_atom_site_fract_z
_atom_site_occupancy
Li1 Li 0.0000 0.5000 0.0000 1
Zn1 Zn 0.2500 0.2500 0.2500 1
Ir1 Ir 0.0000 0.0000 0.0000 1

---

# LiZn2Ir, optimized geometry, DFT GGA-PBE
# energy above the most stable polymorph in this dataset: 18 meV per atom
# ΔH_f (0 K): -0.32 eV/atom
# E: -3.650 eV/atom
# magnetic moment: 0.00 μB/f.u.
data_LiZn2Ir
_chemical_formula_sum 'Li1 Zn2 Ir1'
_symmetry_space_group_name_H-M 'P 4/m m m'
_symmetry_Int_Tables_number 123
_symmetry_space_group_name_Hall '-P 4 2'
_cell_length_a 4.2834
_cell_length_b 4.2834
_cell_length_c 3.0060
_cell_angle_alpha 90.00
_cell_angle_beta 90.00
_cell_angle_gamma 90.00
loop_
_atom_site_label
_atom_site_type_symbol
_atom_site_fract_x
_atom_site_fract_y
_atom_site_fract_z
_atom_site_occupancy
Li1 Li 0.0000 0.0000 0.0000 1
Zn1 Zn 0.0000 0.5000 0.5000 1
Ir1 Ir 0.5000 0.5000 0.0000 1

---

# LiZrZnIr, optimized geometry, DFT GGA-PBE
# ΔH_f (0 K): -0.45 eV/atom
# E: -5.598 eV/atom
# magnetic moment: 0.00 μB/f.u.
data_LiZrZnIr
_chemical_formula_sum 'Li4 Zr4 Zn4 Ir4'
_symmetry_space_group_name_H-M 'F -4 3 m'
_symmetry_Int_Tables_number 216
_symmetry_space_group_name_Hall 'F -4 2 3'
_cell_length_a 6.3461
_cell_length_b 6.3461
_cell_length_c 6.3461
_cell_angle_alpha 90.00
_cell_angle_beta 90.00
_cell_angle_gamma 90.00
loop_
_atom_site_label
_atom_site_type_symbol
_atom_site_fract_x
_atom_site_fract_y
_atom_site_fract_z
_atom_site_occupancy
Li1 Li 0.0000 0.0000 0.0000 1
Zr1 Zr 0.2500 0.2500 0.7500 1
Zn1 Zn 0.2500 0.2500 0.2500 1
Ir1 Ir 0.0000 0.0000 0.5000 1

---

# LiZr3Ir4, optimized geometry, DFT GGA-PBE
# ΔH_f (0 K): -0.71 eV/atom
# E: -8.589 eV/atom
# magnetic moment: 0.00 μB/f.u.
data_LiZr3Ir4
_chemical_formula_sum 'Li2 Zr6 Ir8'
_symmetry_space_group_name_H-M 'I 4/m m m'
_symmetry_Int_Tables_number 139
_symmetry_space_group_name_Hall '-I 4 2'
_cell_length_a 4.4519
_cell_length_b 4.4519
_cell_length_c 13.7126
_cell_angle_alpha 90.00
_cell_angle_beta 90.00
_cell_angle_gamma 90.00
loop_
_atom_site_label
_atom_site_type_symbol
_atom_site_fract_x
_atom_site_fract_y
_atom_site_fract_z
_atom_site_occupancy
Li1 Li 0.0000 0.0000 0.0000 1
Zr1 Zr 0.0000 0.0000 0.2446 1
Zr2 Zr 0.0000 0.0000 0.5000 1
Ir1 Ir 0.0000 0.5000 0.1230 1